Entry 1:
Entry from Alexandria via LeMat-Bulk: crystalline La3BiPd12 at its relaxed geometry (GGA-PBE).

a = 4.2236 Å, b = 4.2236 Å, c = 16.7163 Å
α = 90.00°, β = 90.00°, γ = 90.00°
Fractional coordinates of all 16 atoms:
La (0.0000, 0.0000, 0.2486)
La (0.0000, 0.0000, 0.5000)
La (0.0000, 0.0000, 0.7514)
Bi (0.0000, 0.0000, 0.0000)
Pd (0.5000, 0.5000, 0.0000)
Pd (0.5000, 0.5000, 0.2434)
Pd (0.5000, 0.5000, 0.5000)
Pd (0.5000, 0.5000, 0.7566)
Pd (0.5000, 0.0000, 0.1193)
Pd (0.5000, 0.0000, 0.3730)
Pd (0.5000, 0.0000, 0.6270)
Pd (0.5000, 0.0000, 0.8807)
Pd (0.0000, 0.5000, 0.1193)
Pd (0.0000, 0.5000, 0.3730)
Pd (0.0000, 0.5000, 0.6270)
Pd (0.0000, 0.5000, 0.8807)

## Properties
* total magnetic moment: 0.00 Bohr magnetons per cell
* E_tot: -5.717 eV/atom
* space group: No. 123
* formation energy: -656 meV per atom
* crystal system: tetragonal


Entry 2:
Entry from Alexandria via LeMat-Bulk: crystalline CoI2N6 at its relaxed geometry (GGA-PBE).

a = 5.5494 Å, b = 5.5494 Å, c = 5.5494 Å
α = 60.00°, β = 60.00°, γ = 60.00°
Fractional coordinates of all 9 atoms:
Co (0.0000, 0.0000, 0.0000)
I (0.7500, 0.7500, 0.7500)
I (0.2500, 0.2500, 0.2500)
N (0.2323, 0.7677, 0.7677)
N (0.2323, 0.2323, 0.7677)
N (0.2323, 0.7677, 0.2323)
N (0.7677, 0.2323, 0.2323)
N (0.7677, 0.7677, 0.2323)
N (0.7677, 0.2323, 0.7677)

## Properties
* total magnetic moment: 6.66 Bohr magnetons per cell
* E_tot: -4.258 eV/atom
* space group: No. 225
* formation energy without anion corrections: 2.43 eV per atom
* crystal system: cubic


Entry 3:
Entry from Alexandria via LeMat-Bulk: crystalline MgZnAg at its relaxed geometry (GGA-PBE).

a = 4.4545 Å, b = 4.4545 Å, c = 4.4545 Å
α = 60.00°, β = 60.00°, γ = 60.00°
Fractional coordinates of all 3 atoms:
Ag (0.7500, 0.7500, 0.7500)
Mg (0.0000, 0.0000, 0.0000)
Zn (0.5000, 0.5000, 0.5000)

## Properties
* total magnetic moment: 0.00 Bohr magnetons per cell
* excess energy over the best structure of this formula in the dataset: 177 meV/atom
* E_tot: -1.899 eV/atom
* space group: No. 216
* formation energy: 8 meV per atom
* crystal system: cubic


Entry 4:
Entry from Alexandria via LeMat-Bulk: crystalline U2ZnGa3 at its relaxed geometry (GGA-PBE).

a = 5.6228 Å, b = 5.6228 Å, c = 8.2760 Å
α = 90.00°, β = 90.00°, γ = 120.00°
Fractional coordinates of all 12 atoms:
U (0.6667, 0.3333, 0.4053)
U (0.3333, 0.6667, 0.5947)
U (0.3333, 0.6667, 0.9053)
U (0.6667, 0.3333, 0.0947)
Zn (0.0000, 0.0000, 0.5000)
Zn (0.0000, 0.0000, 0.0000)
Ga (0.1743, 0.3485, 0.2500)
Ga (0.3485, 0.1743, 0.7500)
Ga (0.8257, 0.6515, 0.7500)
Ga (0.1743, 0.8257, 0.2500)
Ga (0.8257, 0.1743, 0.7500)
Ga (0.6515, 0.8257, 0.2500)

## Properties
* total magnetic moment: 9.10 Bohr magnetons per cell
* E_tot: -5.687 eV/atom
* space group: No. 194
* formation energy: -199 meV per atom
* crystal system: hexagonal


Entry 5:
Entry from Alexandria via LeMat-Bulk: crystalline Tm8Sb3 at its relaxed geometry (GGA-PBE).

a = 7.0236 Å, b = 7.0236 Å, c = 7.0236 Å
α = 88.81°, β = 88.81°, γ = 88.81°
Fractional coordinates of all 11 atoms:
Tm (0.8853, 0.3121, 0.1397)
Tm (0.3121, 0.1397, 0.8853)
Tm (0.1397, 0.8853, 0.3121)
Tm (0.3502, 0.3502, 0.3502)
Tm (0.6498, 0.6498, 0.6498)
Tm (0.8603, 0.1147, 0.6879)
Tm (0.6879, 0.8603, 0.1147)
Tm (0.1147, 0.6879, 0.8603)
Sb (0.5000, 0.0000, 0.5000)
Sb (0.0000, 0.5000, 0.5000)
Sb (0.5000, 0.5000, 0.0000)

## Properties
* total magnetic moment: 0.00 Bohr magnetons per cell
* E_tot: -4.627 eV/atom
* space group: No. 148
* formation energy without anion corrections: -0.25 eV per atom
* crystal system: trigonal


Entry 6:
Entry from Alexandria via LeMat-Bulk: crystalline ZrZnRe2 at its relaxed geometry (GGA-PBE).

a = 5.3763 Å, b = 5.3763 Å, c = 2.7454 Å
α = 78.87°, β = 78.87°, γ = 117.95°
Fractional coordinates of all 4 atoms:
Re (0.0000, 0.0000, 0.0000)
Re (0.5000, 0.5000, 0.0000)
Zn (0.5000, 0.0000, 0.5000)
Zr (0.0000, 0.5000, 0.5000)

## Properties
* total magnetic moment: 0.00 Bohr magnetons per cell
* E_tot: -8.566 eV/atom
* space group: No. 12
* formation energy: 113 meV per atom
* crystal system: monoclinic


Entry 7:
Entry from Alexandria via LeMat-Bulk: crystalline TlSbI3 at its relaxed geometry (GGA-PBE).

a = 7.5505 Å, b = 7.5506 Å, c = 11.4723 Å
α = 70.77°, β = 70.73°, γ = 90.00°
Fractional coordinates of all 10 atoms:
Tl (0.8015, 0.5131, 0.2318)
Tl (0.3017, 0.0130, 0.2318)
Sb (0.1166, 0.3281, 0.6014)
Sb (0.9866, 0.1978, 0.8621)
I (0.3095, 0.5212, 0.2152)
I (0.2467, 0.5800, 0.7314)
I (0.3687, 0.0682, 0.7313)
I (0.7345, 0.4577, 0.7322)
I (0.7937, 0.0047, 0.2483)
I (0.8565, 0.9460, 0.7321)

## Properties
* total magnetic moment: 0.00 Bohr magnetons per cell
* excess energy over the best structure of this formula in the dataset: 190 meV/atom
* E_tot: -2.398 eV/atom
* space group: No. 2
* formation energy without anion corrections: -0.17 eV per atom
* crystal system: triclinic


Entry 8:
Entry from Alexandria via LeMat-Bulk: crystalline HoPaZnCu at its relaxed geometry (GGA-PBE).

a = 4.9459 Å, b = 4.9459 Å, c = 4.9459 Å
α = 60.00°, β = 60.00°, γ = 60.00°
Fractional coordinates of all 4 atoms:
Zn (0.2500, 0.2500, 0.2500)
Pa (0.5000, 0.5000, 0.5000)
Ho (0.0000, 0.0000, 0.0000)
Cu (0.7500, 0.7500, 0.7500)

## Properties
* total magnetic moment: 1.10 Bohr magnetons per cell
* E_tot: -4.827 eV/atom
* space group: No. 216
* formation energy: 34 meV per atom
* crystal system: cubic


Entry 9:
Entry from Alexandria via LeMat-Bulk: crystalline MnTlHg2 at its relaxed geometry (GGA-PBE).

a = 5.1032 Å, b = 5.1032 Å, c = 5.1032 Å
α = 60.00°, β = 60.00°, γ = 60.00°
Fractional coordinates of all 4 atoms:
Hg (0.0000, 0.0000, 0.0000)
Hg (0.2500, 0.2500, 0.2500)
Mn (0.5000, 0.5000, 0.5000)
Tl (0.7500, 0.7500, 0.7500)

## Properties
* total magnetic moment: 4.45 Bohr magnetons per cell
* E_tot: -2.677 eV/atom
* space group: No. 216
* formation energy: 357 meV per atom
* crystal system: cubic


Entry 10:
Entry from Alexandria via LeMat-Bulk: crystalline CoBr3 at its relaxed geometry (GGA-PBE).

a = 5.1687 Å, b = 5.1687 Å, c = 3.5006 Å
α = 90.00°, β = 90.00°, γ = 90.02°
Fractional coordinates of all 4 atoms:
Br (0.0000, 0.5000, 0.5000)
Br (0.5000, 0.0000, 0.5000)
Br (0.5000, 0.5000, 0.0000)
Co (0.0000, 0.0000, 0.0000)

## Properties
* total magnetic moment: 2.54 Bohr magnetons per cell
* E_tot: -2.259 eV/atom
* space group: No. 123
* formation energy without anion corrections: 0.77 eV per atom
* crystal system: tetragonal


Entry 11:
Entry from Alexandria via LeMat-Bulk: crystalline TlIr2Pt at its relaxed geometry (GGA-PBE).

a = 4.8340 Å, b = 4.8340 Å, c = 5.0566 Å
α = 80.04°, β = 80.04°, γ = 35.28°
Fractional coordinates of all 4 atoms:
Ir (0.9944, 0.9944, 0.0357)
Ir (0.2536, 0.2536, 0.2320)
Pt (0.5036, 0.5036, 0.4904)
Tl (0.7484, 0.7484, 0.7419)

## Properties
* total magnetic moment: 0.00 Bohr magnetons per cell
* excess energy over the best structure of this formula in the dataset: 33 meV/atom
* E_tot: -6.179 eV/atom
* space group: No. 8
* formation energy: 353 meV per atom
* crystal system: monoclinic


Entry 12:
Entry from Alexandria via LeMat-Bulk: crystalline RbNa2N2 at its relaxed geometry (GGA-PBE).

a = 6.9804 Å, b = 6.9804 Å, c = 7.4251 Å
α = 90.00°, β = 90.00°, γ = 90.00°
Fractional coordinates of all 10 atoms:
Na (0.1833, 0.6833, 0.5000)
Na (0.6833, 0.8167, 0.5000)
Na (0.8167, 0.3167, 0.5000)
Na (0.3167, 0.1833, 0.5000)
Rb (0.0000, 0.0000, 0.0000)
Rb (0.5000, 0.5000, 0.0000)
N (0.4415, 0.9415, 0.0000)
N (0.9415, 0.5585, 0.0000)
N (0.5585, 0.0585, 0.0000)
N (0.0585, 0.4415, 0.0000)

## Properties
* total magnetic moment: 1.03 Bohr magnetons per cell
* excess energy over the best structure of this formula in the dataset: 0 meV/atom
* E_tot: -3.998 eV/atom
* space group: No. 127
* formation energy without anion corrections: 0.05 eV per atom
* crystal system: tetragonal


Entry 13:
Entry from Alexandria via LeMat-Bulk: crystalline RbHCl2 at its relaxed geometry (GGA-PBE).

a = 5.8212 Å, b = 6.4228 Å, c = 16.3138 Å
α = 76.59°, β = 90.00°, γ = 90.00°
Fractional coordinates of all 16 atoms:
Rb (0.2425, 0.9380, 0.3757)
Rb (0.7575, 0.0620, 0.6243)
Rb (0.2425, 0.5620, 0.1243)
Rb (0.7575, 0.4380, 0.8757)
H (0.0797, 0.6730, 0.6283)
H (0.9203, 0.3270, 0.3717)
H (0.0797, 0.8270, 0.8717)
H (0.9203, 0.1730, 0.1283)
Cl (0.8764, 0.9737, 0.8313)
Cl (0.1236, 0.0263, 0.1687)
Cl (0.8764, 0.5263, 0.6687)
Cl (0.1236, 0.4737, 0.3313)
Cl (0.7399, 0.3436, 0.0847)
Cl (0.2601, 0.6564, 0.9153)
Cl (0.7399, 0.1564, 0.4153)
Cl (0.2601, 0.8436, 0.5847)

## Properties
* total magnetic moment: 0.00 Bohr magnetons per cell
* excess energy over the best structure of this formula in the dataset: 30 meV/atom
* E_tot: -3.238 eV/atom
* space group: No. 13
* crystal system: monoclinic


Entry 14:
Entry from Alexandria via LeMat-Bulk: crystalline PuPaFeN4 at its relaxed geometry (GGA-PBE).

a = 3.6687 Å, b = 3.6687 Å, c = 6.6199 Å
α = 106.09°, β = 106.09°, γ = 90.00°
Fractional coordinates of all 7 atoms:
Pu (0.6332, 0.6332, 0.2663)
Pa (0.3580, 0.3580, 0.7161)
Fe (0.0218, 0.0218, 0.0435)
N (0.9967, 0.4967, 0.9934)
N (0.4967, 0.9967, 0.9934)
N (0.8174, 0.8174, 0.6348)
N (0.1763, 0.1763, 0.3526)

## Properties
* total magnetic moment: 2.92 Bohr magnetons per cell
* E_tot: -10.327 eV/atom
* space group: No. 107
* formation energy without anion corrections: -0.96 eV per atom
* crystal system: tetragonal


Entry 15:
Entry from Alexandria via LeMat-Bulk: crystalline Mn2TlSnH at its relaxed geometry (GGA-PBE).

a = 5.0049 Å, b = 3.4465 Å, c = 5.0049 Å
α = 90.00°, β = 90.00°, γ = 90.00°
Fractional coordinates of all 5 atoms:
H (0.0000, 0.5000, 0.0000)
Tl (0.0000, 0.0000, 0.0000)
Mn (0.0000, 0.0000, 0.5000)
Mn (0.5000, 0.0000, 0.0000)
Sn (0.5000, 0.5000, 0.5000)

## Properties
* total magnetic moment: 0.89 Bohr magnetons per cell
* E_tot: -4.147 eV/atom
* space group: No. 123
* crystal system: tetragonal


Entry 16:
Entry from Alexandria via LeMat-Bulk: crystalline Cs5KRb at its relaxed geometry (GGA-PBE).

a = 9.0769 Å, b = 10.4517 Å, c = 16.9784 Å
α = 91.30°, β = 74.50°, γ = 94.86°
Fractional coordinates of all 14 atoms:
Cs (0.2219, 0.3781, 0.0780)
Cs (0.2002, 0.5107, 0.5980)
Cs (0.3583, 0.7500, 0.2834)
Cs (0.2019, 0.9893, 0.5980)
Cs (0.2998, 0.8781, 0.9220)
Cs (0.7002, 0.1219, 0.0780)
Cs (0.7981, 0.0107, 0.4020)
Cs (0.6417, 0.2500, 0.7166)
Cs (0.7998, 0.4893, 0.4020)
Cs (0.7781, 0.6219, 0.9220)
K (0.0816, 0.2500, 0.8367)
K (0.9184, 0.7500, 0.1633)
Rb (0.3315, 0.2500, 0.3370)
Rb (0.6685, 0.7500, 0.6630)

## Properties
* total magnetic moment: 0.00 Bohr magnetons per cell
* excess energy over the best structure of this formula in the dataset: 0 meV/atom
* E_tot: -0.874 eV/atom
* space group: No. 15
* formation energy: 30 meV per atom
* crystal system: monoclinic


Entry 17:
Entry from Alexandria via LeMat-Bulk: crystalline SrLaSn2 at its relaxed geometry (GGA-PBE).

a = 8.8297 Å, b = 8.8297 Å, c = 7.1869 Å
α = 52.10°, β = 52.10°, γ = 90.00°
Fractional coordinates of all 8 atoms:
Sr (0.5000, 0.5000, 0.0000)
Sr (0.2500, 0.7500, 0.5000)
Sn (0.6290, 0.1250, 0.2500)
Sn (0.1210, 0.6250, 0.2500)
Sn (0.3750, 0.3710, 0.7500)
Sn (0.8750, 0.8790, 0.7500)
La (0.0000, 0.0000, 0.0000)
La (0.7500, 0.2500, 0.5000)

## Properties
* total magnetic moment: 0.00 Bohr magnetons per cell
* E_tot: -3.997 eV/atom
* space group: No. 122
* formation energy: -343 meV per atom
* crystal system: tetragonal


Entry 18:
Entry from Alexandria via LeMat-Bulk: crystalline Pm6In5Sn at its relaxed geometry (GGA-PBE).

a = 10.1419 Å, b = 5.0754 Å, c = 8.0343 Å
α = 71.59°, β = 80.90°, γ = 59.96°
Fractional coordinates of all 12 atoms:
Pm (0.7498, 0.0845, 0.3317)
Pm (0.2502, 0.5838, 0.3317)
Pm (0.2474, 0.2524, 0.0000)
Pm (0.7526, 0.7476, 0.0000)
Pm (0.7498, 0.4162, 0.6683)
Pm (0.2502, 0.9155, 0.6683)
In (0.5000, 0.1665, 0.6671)
In (0.0000, 0.3290, 0.3420)
In (0.5000, 0.5000, 0.0000)
In (0.0000, 0.6710, 0.6580)
In (0.5000, 0.8335, 0.3329)
Sn (0.0000, 0.0000, 0.0000)

## Properties
* total magnetic moment: 0.00 Bohr magnetons per cell
* E_tot: -4.378 eV/atom
* space group: No. 65
* formation energy: -529 meV per atom
* crystal system: orthorhombic


Entry 19:
Entry from Alexandria via LeMat-Bulk: crystalline MgIn2Pd at its relaxed geometry (GGA-PBE).

a = 3.3069 Å, b = 3.3069 Å, c = 9.2308 Å
α = 79.68°, β = 79.68°, γ = 60.00°
Fractional coordinates of all 4 atoms:
Mg (0.5003, 0.5003, 0.4991)
In (0.0755, 0.0755, 0.7734)
In (0.2579, 0.2579, 0.2264)
Pd (0.6663, 0.6663, 0.0011)

## Properties
* total magnetic moment: 0.00 Bohr magnetons per cell
* E_tot: -3.284 eV/atom
* space group: No. 160
* formation energy: -218 meV per atom
* crystal system: trigonal


Entry 20:
Entry from Alexandria via LeMat-Bulk: crystalline PmGa2Ag at its relaxed geometry (GGA-PBE).

a = 4.6722 Å, b = 5.7630 Å, c = 6.6938 Å
α = 90.00°, β = 90.00°, γ = 113.91°
Fractional coordinates of all 8 atoms:
Pm (0.8987, 0.7973, 0.2500)
Pm (0.1013, 0.2027, 0.7500)
Ga (0.3834, 0.7668, 0.9465)
Ga (0.6166, 0.2332, 0.0535)
Ga (0.6166, 0.2332, 0.4465)
Ga (0.3834, 0.7668, 0.5535)
Ag (0.1964, 0.3927, 0.2500)
Ag (0.8036, 0.6073, 0.7500)

## Properties
* total magnetic moment: 0.00 Bohr magnetons per cell
* excess energy over the best structure of this formula in the dataset: 0 meV/atom
* E_tot: -3.903 eV/atom
* space group: No. 63
* formation energy: -489 meV per atom
* crystal system: orthorhombic